DFT (GGA-PBE) results for an optimized crystal structure of BaAg2SnAu4.

Calculated values
Energy relative to the elements ... -223 meV/atom
E ... -26.5 eV/cell
Crystal system ... trigonal
Calculated volume ... 190 Å³ per cell

a b c (Å): 4.7688 4.7688 10.0119
angles (deg): 76.22 76.22 60.00
With the nearest neighbours (Å) after each atom.
Fractional positions:
Ba (0.0000, 0.0000, 0.0000)  8 Au 3.39-3.61
Ag (0.7611, 0.7611, 0.7166)  6 Au 2.85-2.89
Ag (0.2389, 0.2389, 0.2834)  6 Au 2.85-2.89
Sn (0.5000, 0.5000, 0.5000)  8 Au 2.83-3.00
Au (0.4018, 0.4018, 0.7945)  1 Sn 2.83, 3 Ag 2.85
Au (0.8748, 0.8748, 0.3755)  3 Ag 2.89, 3 Sn 3.00, 3 Au 3.20
Au (0.1252, 0.1252, 0.6245)  3 Ag 2.89, 3 Sn 3.00, 3 Au 3.20
Au (0.5982, 0.5982, 0.2055)  1 Sn 2.83, 3 Ag 2.85

***

DFT (GGA-PBE) results for an optimized crystal structure of Ba2AgSnAu6.

Calculated values
Energy relative to the elements ... -435 meV/atom
E ... -34.7 eV/cell
Crystal system ... monoclinic
Calculated volume ... 270 Å³ per cell

a b c (Å): 5.7243 9.5550 7.5636
angles (deg): 48.91 67.76 90.00
With the nearest neighbours (Å) after each atom.
Fractional positions:
Ba (0.7419, 0.2848, 0.5160)  7 Au 3.42-3.73, 2 Ag 3.74
Ba (0.2581, 0.7152, 0.4840)  7 Au 3.42-3.73, 2 Ag 3.74
Ag (0.0000, 0.0000, 0.0000)  6 Au 2.79-2.88
Sn (0.5000, 0.5000, 0.0000)  6 Au 2.78-2.85
Au (0.2459, 0.0932, 0.5080)  1 Sn 2.85, 4 Au 2.87-3.01, 1 Ag 2.88
Au (0.7597, 0.7562, 0.9856)  1 Sn 2.78, 1 Ag 2.79, 4 Au 2.83-3.01
Au (0.2548, 0.7563, 0.9854)  1 Sn 2.78, 1 Ag 2.79, 4 Au 2.83-3.01
Au (0.7452, 0.2437, 0.0146)  1 Sn 2.78, 1 Ag 2.79, 4 Au 2.83-3.01
Au (0.2403, 0.2438, 0.0144)  1 Sn 2.78, 1 Ag 2.79, 4 Au 2.83-3.01
Au (0.7541, 0.9068, 0.4920)  1 Sn 2.85, 4 Au 2.87-3.01, 1 Ag 2.88

***

DFT (GGA-PBE) results for an optimized crystal structure of BaAgSn2Au.

Calculated values
Energy relative to the elements ... -483 meV/atom
E ... -18.5 eV/cell
Crystal system ... tetragonal
Calculated volume ... 138 Å³ per cell

a b c (Å): 4.9231 4.9231 6.6576
angles (deg): 111.70 111.70 90.00
With the nearest neighbours (Å) after each atom.
Fractional positions:
Ba (0.0000, 0.0000, 0.0000)  4 Au 3.76, 4 Ag 3.76, 8 Sn 3.78
Ag (0.2500, 0.7500, 0.5000)  4 Sn 2.82
Sn (0.6287, 0.6287, 0.2573)  2 Au 2.82, 2 Ag 2.82, 1 Sn 2.92
Sn (0.3713, 0.3713, 0.7427)  2 Ag 2.82, 2 Au 2.82, 1 Sn 2.92
Au (0.7500, 0.2500, 0.5000)  4 Sn 2.82

***

DFT (GGA-PBE) results for an optimized crystal structure of Ba2AgSn4Au3.

Calculated values
Energy relative to the elements ... -555 meV/atom
E ... -38.1 eV/cell
Crystal system ... tetragonal
Calculated volume ... 271 Å³ per cell

a b c (Å): 4.8509 4.8509 11.5212
angles (deg): 90.00 90.00 90.00
With the nearest neighbours (Å) after each atom.
Fractional positions:
Ba (0.5000, 0.0000, 0.2567)  8 Sn 3.68-3.83, 2 Ag 3.71, 6 Au 3.71-3.72
Ba (0.0000, 0.5000, 0.7433)  8 Sn 3.68-3.83, 2 Ag 3.71, 6 Au 3.71-3.72
Ag (0.5000, 0.5000, 0.5000)  4 Sn 2.83
Sn (0.5000, 0.5000, 0.0000)  4 Au 2.87
Sn (0.0000, 0.0000, 0.0000)  4 Au 2.87
Sn (0.5000, 0.0000, 0.6265)  3 Au 2.78-2.83, 2 Ag 2.83
Sn (0.0000, 0.5000, 0.3735)  3 Au 2.78-2.83, 2 Ag 2.83
Au (0.0000, 0.0000, 0.5000)  4 Sn 2.83
Au (0.5000, 0.0000, 0.8674)  5 Sn 2.78-2.87
Au (0.0000, 0.5000, 0.1326)  5 Sn 2.78-2.87

***

DFT (GGA-PBE) results for an optimized crystal structure of Ba2Ag3Sn4Au.

Calculated values
Energy relative to the elements ... -431 meV/atom
E ... -36.0 eV/cell
Crystal system ... tetragonal
Calculated volume ... 274 Å³ per cell

a b c (Å): 4.8818 4.8818 11.5053
angles (deg): 90.00 90.00 90.00
With the nearest neighbours (Å) after each atom.
Fractional positions:
Ba (0.5000, 0.0000, 0.2582)  2 Au 3.70, 6 Ag 3.70-3.74, 8 Sn 3.71-3.84
Ba (0.0000, 0.5000, 0.7418)  6 Ag 3.70-3.74, 2 Au 3.70, 8 Sn 3.71-3.84
Ag (0.0000, 0.0000, 0.5000)  4 Sn 2.82
Ag (0.5000, 0.0000, 0.8661)  5 Sn 2.80-2.89
Ag (0.0000, 0.5000, 0.1339)  5 Sn 2.80-2.89
Sn (0.5000, 0.5000, 0.0000)  4 Ag 2.89
Sn (0.0000, 0.0000, 0.0000)  4 Ag 2.89
Sn (0.5000, 0.0000, 0.6229)  3 Ag 2.80-2.82, 2 Au 2.82
Sn (0.0000, 0.5000, 0.3771)  3 Ag 2.80-2.82, 2 Au 2.82
Au (0.5000, 0.5000, 0.5000)  4 Sn 2.82

***

DFT (GGA-PBE) results for an optimized crystal structure of BaTbAgAu.

Calculated values
Energy relative to the elements ... -345 meV/atom
E ... -14.1 eV/cell
Crystal system ... cubic
Calculated volume ... 113 Å³ per cell

a b c (Å): 5.4342 5.4342 5.4342
angles (deg): 60.00 60.00 60.00
With the nearest neighbours (Å) after each atom.
Fractional positions:
Tb (0.7500, 0.7500, 0.7500)  4 Au 3.33, 4 Ag 3.33
Au (0.0000, 0.0000, 0.0000)  4 Tb 3.33, 4 Ba 3.33
Ba (0.2500, 0.2500, 0.2500)  4 Ag 3.33, 4 Au 3.33
Ag (0.5000, 0.5000, 0.5000)  4 Ba 3.33, 4 Tb 3.33

***

DFT (GGA-PBE) results for an optimized crystal structure of Ba2Tl6AgAu.

Calculated values
Energy relative to the elements ... -212 meV/atom
E ... -26.3 eV/cell
Crystal system ... monoclinic
Calculated volume ... 318 Å³ per cell

a b c (Å): 13.2193 5.2791 8.3375
angles (deg): 90.00 42.56 113.55
With the nearest neighbours (Å) after each atom.
Fractional positions:
Ba (0.2981, 0.7987, 0.5443)  2 Au 3.52, 8 Tl 3.56-3.89
Ba (0.7019, 0.2013, 0.4557)  2 Au 3.52, 8 Tl 3.56-3.89
Tl (0.2249, 0.7253, 0.1672)  7 Tl 3.26-3.64, 2 Ag 3.54-3.55
Tl (0.6676, 0.6672, 0.1686)  1 Au 3.02, 4 Tl 3.26-3.32, 1 Ag 3.27
Tl (0.1054, 0.1062, 0.5360)  1 Ag 2.92, 1 Au 2.94, 1 Tl 3.06
Tl (0.7751, 0.2747, 0.8328)  7 Tl 3.26-3.64, 2 Ag 3.54-3.55
Tl (0.3324, 0.3328, 0.8314)  1 Au 3.02, 4 Tl 3.26-3.32, 1 Ag 3.27
Tl (0.8946, 0.8938, 0.4640)  1 Ag 2.92, 1 Au 2.94, 1 Tl 3.06
Ag (0.5000, 0.5000, 0.0000)  2 Tl 2.92
Au (0.0000, 0.0000, 0.0000)  4 Tl 2.94-3.02

***

DFT (GGA-PBE) results for an optimized crystal structure of Ba3Tl2Ag2Au4.

Calculated values
Energy relative to the elements ... -449 meV/atom
E ... -34.3 eV/cell
Crystal system ... trigonal
Calculated volume ... 336 Å³ per cell

a b c (Å): 4.9424 4.9424 15.8967
angles (deg): 90.00 90.00 120.00
With the nearest neighbours (Å) after each atom.
Fractional positions:
Ba (0.0000, 0.0000, 0.7328)  6 Au 3.43-3.56, 3 Ag 3.55
Ba (0.0000, 0.0000, 0.0000)  6 Au 3.55, 6 Ag 3.56
Ba (0.0000, 0.0000, 0.2672)  6 Au 3.43-3.56, 3 Ag 3.55
Tl (0.6667, 0.3333, 0.4289)  4 Au 2.93
Tl (0.3333, 0.6667, 0.5711)  4 Au 2.93
Ag (0.6667, 0.3333, 0.8658)  3 Au 2.85
Ag (0.3333, 0.6667, 0.1342)  3 Au 2.85
Au (0.6667, 0.3333, 0.1332)  3 Ag 2.85
Au (0.3333, 0.6667, 0.8668)  3 Ag 2.85
Au (0.6667, 0.3333, 0.6135)  4 Tl 2.93
Au (0.3333, 0.6667, 0.3865)  4 Tl 2.93

***

DFT (GGA-PBE) results for an optimized crystal structure of BaTlAgAu.

Calculated values
Energy relative to the elements ... -262 meV/atom
E ... -11.5 eV/cell
Crystal system ... cubic
Calculated volume ... 115 Å³ per cell

a b c (Å): 5.4663 5.4663 5.4663
angles (deg): 60.00 60.00 60.00
With the nearest neighbours (Å) after each atom.
Fractional positions:
Tl (0.0000, 0.0000, 0.0000)  4 Au 3.35, 4 Ag 3.35
Au (0.7500, 0.7500, 0.7500)  4 Ba 3.35, 4 Tl 3.35
Ba (0.5000, 0.5000, 0.5000)  4 Ag 3.35, 4 Au 3.35
Ag (0.2500, 0.2500, 0.2500)  4 Ba 3.35, 4 Tl 3.35

***

DFT (GGA-PBE) results for an optimized crystal structure of BaYAgAu.

Calculated values
Energy relative to the elements ... -346 meV/atom
E ... -15.9 eV/cell
Crystal system ... cubic
Calculated volume ... 113 Å³ per cell

a b c (Å): 5.4320 5.4320 5.4320
angles (deg): 60.00 60.00 60.00
With the nearest neighbours (Å) after each atom.
Fractional positions:
Y (0.7500, 0.7500, 0.7500)  4 Ag 3.33, 4 Au 3.33
Au (0.0000, 0.0000, 0.0000)  4 Ba 3.33, 4 Y 3.33
Ba (0.2500, 0.2500, 0.2500)  4 Au 3.33, 4 Ag 3.33
Ag (0.5000, 0.5000, 0.5000)  4 Ba 3.33, 4 Y 3.33

***

DFT (GGA-PBE) results for an optimized crystal structure of BaZnAgAu3.

Calculated values
Energy relative to the elements ... -282 meV/atom
E ... -35.1 eV/cell
Crystal system ... orthorhombic
Calculated volume ... 296 Å³ per cell

a b c (Å): 6.3435 6.8464 7.6224
angles (deg): 116.69 90.00 90.00
With the nearest neighbours (Å) after each atom.
Fractional positions:
Ba (0.7500, 0.2846, 0.5691)  2 Ag 3.35, 1 Zn 3.49, 8 Au 3.49-3.63
Ba (0.2500, 0.7154, 0.4309)  2 Ag 3.35, 1 Zn 3.49, 8 Au 3.49-3.63
Zn (0.2500, 0.9714, 0.9427)  5 Au 2.58-2.63
Zn (0.7500, 0.0286, 0.0573)  5 Au 2.58-2.63
Ag (0.2500, 0.3634, 0.7267)  5 Au 2.71-2.83
Ag (0.7500, 0.6366, 0.2733)  5 Au 2.71-2.83
Au (0.2500, 0.1646, 0.3291)  1 Zn 2.63, 1 Ag 2.71
Au (0.0000, 0.2911, 0.0000)  2 Zn 2.58, 2 Ag 2.83, 1 Au 2.86
Au (0.5000, 0.7089, 0.0000)  2 Zn 2.58, 2 Ag 2.83, 1 Au 2.86
Au (0.5000, 0.2911, 0.0000)  2 Zn 2.58, 2 Ag 2.83, 1 Au 2.86
Au (0.0000, 0.7089, 0.0000)  2 Zn 2.58, 2 Ag 2.83, 1 Au 2.86
Au (0.7500, 0.8354, 0.6709)  1 Zn 2.63, 1 Ag 2.71

***

DFT (GGA-PBE) results for an optimized crystal structure of BaZnAg2Au.

Calculated values
Energy relative to the elements ... -190 meV/atom
E ... -13.1 eV/cell
Crystal system ... tetragonal
Excess energy over the best structure of this formula in the dataset ... 96 meV per atom
Calculated volume ... 131 Å³ per cell

a b c (Å): 5.0717 5.0717 5.0888
angles (deg): 90.00 90.00 90.00
With the nearest neighbours (Å) after each atom.
Fractional positions:
Zn (0.0000, 0.0000, 0.0000)  4 Ag 2.54, 2 Au 2.54
Au (0.0000, 0.0000, 0.5000)  2 Zn 2.54
Ba (0.5000, 0.5000, 0.5000)  4 Au 3.59, 8 Ag 3.59
Ag (0.0000, 0.5000, 0.0000)  2 Zn 2.54
Ag (0.5000, 0.0000, 0.0000)  2 Zn 2.54

***

DFT (GGA-PBE) results for an optimized crystal structure of Ba2ZnAgAu6.

Calculated values
Energy relative to the elements ... -425 meV/atom
E ... -31.9 eV/cell
Crystal system ... triclinic
Calculated volume ... 262 Å³ per cell

a b c (Å): 7.2757 7.0452 7.3011
angles (deg): 64.42 56.32 91.70
With the nearest neighbours (Å) after each atom.
Fractional positions:
Ba (0.7805, 0.2229, 0.5553)  10 Au 3.40-3.78
Ba (0.2195, 0.7771, 0.4447)  10 Au 3.40-3.78
Zn (0.0000, 0.0000, 0.0000)  6 Au 2.53-2.55
Ag (0.5000, 0.5000, 0.0000)  6 Au 2.73-2.74
Au (0.3252, 0.2378, 0.5091)  1 Zn 2.53, 1 Ag 2.74
Au (0.7530, 0.6415, 0.1167)  1 Zn 2.55, 1 Ag 2.73
Au (0.2525, 0.7611, 0.9109)  1 Zn 2.54, 1 Ag 2.74
Au (0.7475, 0.2389, 0.0891)  1 Zn 2.54, 1 Ag 2.74
Au (0.2470, 0.3585, 0.8833)  1 Zn 2.55, 1 Ag 2.73
Au (0.6748, 0.7622, 0.4909)  1 Zn 2.53, 1 Ag 2.74

***

DFT (GGA-PBE) results for an optimized crystal structure of Ba2Zn3AgAu4.

Calculated values
Energy relative to the elements ... -465 meV/atom
E ... -28.3 eV/cell
Crystal system ... tetragonal
Calculated volume ... 240 Å³ per cell

a b c (Å): 4.8016 4.8016 10.4129
angles (deg): 90.00 90.00 90.00
With the nearest neighbours (Å) after each atom.
Fractional positions:
Ba (0.5000, 0.0000, 0.2482)  8 Au 3.53-3.60, 7 Zn 3.55-3.76, 2 Ag 3.55
Ba (0.0000, 0.5000, 0.7518)  8 Au 3.53-3.60, 2 Ag 3.55, 7 Zn 3.55-3.76
Zn (0.0000, 0.0000, 0.5000)  4 Au 2.79
Zn (0.5000, 0.0000, 0.8870)  5 Au 2.60-2.67
Zn (0.0000, 0.5000, 0.1130)  5 Au 2.60-2.67
Ag (0.5000, 0.5000, 0.5000)  4 Au 2.79
Au (0.5000, 0.5000, 0.0000)  4 Zn 2.67
Au (0.0000, 0.0000, 0.0000)  4 Zn 2.67
Au (0.5000, 0.0000, 0.6371)  3 Zn 2.60-2.79, 2 Ag 2.79
Au (0.0000, 0.5000, 0.3629)  3 Zn 2.60-2.79, 2 Ag 2.79

***

DFT (GGA-PBE) results for an optimized crystal structure of BaZn2Ag2Au.

Calculated values
Energy relative to the elements ... -146 meV/atom
E ... -14.3 eV/cell
Crystal system ... tetragonal
Calculated volume ... 151 Å³ per cell

a b c (Å): 4.9390 4.9390 6.1908
angles (deg): 90.00 90.00 90.00
With the nearest neighbours (Å) after each atom.
Fractional positions:
Ba (0.0000, 0.0000, 0.5000)  2 Au 3.10
Zn (0.5000, 0.0000, 0.0000)  2 Au 2.47
Zn (0.0000, 0.5000, 0.0000)  2 Au 2.47
Ag (0.5000, 0.5000, 0.7387)  4 Zn 2.95, 2 Ag 2.96-3.23
Ag (0.5000, 0.5000, 0.2613)  4 Zn 2.95, 2 Ag 2.96-3.23
Au (0.0000, 0.0000, 0.0000)  4 Zn 2.47

***

DFT (GGA-PBE) results for an optimized crystal structure of BaZn2AgAu5.

Calculated values
Energy relative to the elements ... -198 meV/atom
E ... -25.5 eV/cell
Crystal system ... tetragonal
Calculated volume ... 200 Å³ per cell

a b c (Å): 5.0893 5.0893 7.7318
angles (deg): 90.00 90.00 90.00
With the nearest neighbours (Å) after each atom.
Fractional positions:
Ba (0.0000, 0.0000, 0.5000)  12 Au 3.50-3.60, 2 Ag 3.87
Zn (0.5000, 0.5000, 0.1685)  5 Au 2.55-2.56, 1 Zn 2.61
Zn (0.5000, 0.5000, 0.8315)  5 Au 2.55-2.56, 1 Zn 2.61
Ag (0.0000, 0.0000, 0.0000)  8 Au 2.94
Au (0.0000, 0.5000, 0.1895)  2 Zn 2.55
Au (0.5000, 0.0000, 0.1895)  2 Zn 2.55
Au (0.0000, 0.5000, 0.8105)  2 Zn 2.55
Au (0.5000, 0.0000, 0.8105)  2 Zn 2.55
Au (0.5000, 0.5000, 0.5000)  2 Zn 2.56

***

DFT (GGA-PBE) results for an optimized crystal structure of BaZnAg2Au.

Calculated values
Energy relative to the elements ... -287 meV/atom
E ... -13.6 eV/cell
Crystal system ... orthorhombic
Excess energy over the best structure of this formula in the dataset ... 0 meV per atom
Calculated volume ... 125 Å³ per cell

a b c (Å): 4.6764 4.7321 6.5455
angles (deg): 111.19 110.93 90.00
With the nearest neighbours (Å) after each atom.
Fractional positions:
Ba (0.4392, 0.4392, 0.8785)  4 Au 3.59, 8 Ag 3.62-3.71, 4 Zn 3.63-3.71
Zn (0.1947, 0.6947, 0.3895)  2 Au 2.73, 2 Ag 2.78
Ag (0.6922, 0.1922, 0.3844)  2 Ag 2.74, 2 Au 2.77
Ag (0.0656, 0.0656, 0.1312)  2 Ag 2.74, 1 Au 2.77, 2 Zn 2.78
Au (0.8203, 0.8203, 0.6407)  2 Zn 2.73, 3 Ag 2.77

***

DFT (GGA-PBE) results for an optimized crystal structure of BaZnAgAu2.

Calculated values
Energy relative to the elements ... -410 meV/atom
E ... -14.7 eV/cell
Crystal system ... tetragonal
Excess energy over the best structure of this formula in the dataset ... 0 meV per atom
Calculated volume ... 124 Å³ per cell

a b c (Å): 4.6124 4.6124 6.6603
angles (deg): 110.26 110.26 90.00
With the nearest neighbours (Å) after each atom.
Fractional positions:
Ba (0.0000, 0.0000, 0.0000)  8 Au 3.54, 4 Ag 3.71, 4 Zn 3.71
Zn (0.7500, 0.2500, 0.5000)  4 Au 2.76
Ag (0.2500, 0.7500, 0.5000)  4 Au 2.76
Au (0.6196, 0.6196, 0.2392)  2 Ag 2.76, 2 Zn 2.76, 1 Au 2.78
Au (0.3804, 0.3804, 0.7608)  2 Zn 2.76, 2 Ag 2.76, 1 Au 2.78

***

DFT (GGA-PBE) results for an optimized crystal structure of Ba3Zn2Ag2Au4.

Calculated values
Energy relative to the elements ... -385 meV/atom
E ... -31.4 eV/cell
Crystal system ... trigonal
Calculated volume ... 315 Å³ per cell

a b c (Å): 4.6985 4.6985 16.4578
angles (deg): 90.00 90.00 120.00
With the nearest neighbours (Å) after each atom.
Fractional positions:
Ba (0.0000, 0.0000, 0.7197)  6 Au 3.26-3.62, 3 Zn 3.56
Ba (0.0000, 0.0000, 0.0000)  6 Au 3.50, 6 Zn 3.56
Ba (0.0000, 0.0000, 0.2803)  6 Au 3.26-3.62, 3 Zn 3.56
Zn (0.6667, 0.3333, 0.8601)  3 Au 2.71
Zn (0.3333, 0.6667, 0.1399)  3 Au 2.71
Ag (0.6667, 0.3333, 0.4391)  4 Au 2.81-2.83
Ag (0.3333, 0.6667, 0.5609)  4 Au 2.81-2.83
Au (0.6667, 0.3333, 0.1348)  3 Zn 2.71
Au (0.3333, 0.6667, 0.8652)  3 Zn 2.71
Au (0.6667, 0.3333, 0.6096)  4 Ag 2.81-2.83
Au (0.3333, 0.6667, 0.3904)  4 Ag 2.81-2.83

***

DFT (GGA-PBE) results for an optimized crystal structure of BaZnAgAu2.

Calculated values
Energy relative to the elements ... -309 meV/atom
E ... -14.1 eV/cell
Crystal system ... tetragonal
Excess energy over the best structure of this formula in the dataset ... 101 meV per atom
Calculated volume ... 130 Å³ per cell

a b c (Å): 5.0915 5.0915 5.0311
angles (deg): 90.00 90.00 90.00
With the nearest neighbours (Å) after each atom.
Fractional positions:
Zn (0.0000, 0.0000, 0.0000)  2 Ag 2.52, 4 Au 2.55
Au (0.0000, 0.5000, 0.0000)  2 Zn 2.55
Au (0.5000, 0.0000, 0.0000)  2 Zn 2.55
Ba (0.5000, 0.5000, 0.5000)  8 Au 3.58, 4 Ag 3.60
Ag (0.0000, 0.0000, 0.5000)  2 Zn 2.52